--- A ---
BeZnSi2 | PBE-GGA | relaxed

Calculated values
Magnetization (μB per formula unit): 0.00
Volume (Å³ per cell): 53.7

Cell lengths 2.6454, 2.6454, 7.6738 Å; angles 90.00, 90.00, 90.00 degrees
Last column: nearest neighbours and their distance in Å.
Space group P4/mmm (No. 123)
One atom of each set of equivalent atoms:
Be 0.0000 0.0000 0.0000 x1  8 Si 2.47, 4 Be 2.65
Zn 0.0000 0.0000 0.5000 x1  4 Zn 2.65, 8 Si 2.91
Si 0.5000 0.5000 0.2093 x2  4 Be 2.47, 4 Si 2.65

---

--- B ---
BeZnSi2 | PBE-GGA | relaxed

Calculated values
Magnetization (μB per formula unit): 0.00
Volume (Å³ per cell): 55.0

Cell lengths 2.4841, 3.5419, 6.3465 Å; angles 90.00, 100.19, 90.00 degrees
Last column: nearest neighbours and their distance in Å.
Space group Pm (No. 6)
One atom of each set of equivalent atoms:
Be 0.0000 0.0000 0.0000 x1  2 Be 2.48, 4 Si 2.49-2.50, 4 Zn 2.60
Zn 0.3964 0.5000 0.7701 x1  2 Zn 2.48, 4 Be 2.60, 5 Si 2.68-2.76
Si 0.5954 0.5000 0.1995 x1  4 Si 2.48-2.59, 4 Be 2.49-2.50, 1 Zn 2.68
Si 0.7536 0.0000 0.5025 x1  4 Si 2.48-2.59, 4 Zn 2.71-2.76

---

Which structure loses on stability? A does.

---

--- A ---
BeZnSi2 | PBE-GGA | relaxed

Calculated values
Magnetization (μB per formula unit): 0.00
Volume (Å³ per cell): 54.9

Cell lengths 2.4992, 4.6711, 4.7061 Å; angles 90.00, 90.00, 90.00 degrees
Last column: nearest neighbours and their distance in Å.
Space group Pmmm (No. 47)
One atom of each set of equivalent atoms:
Be 0.0000 0.0000 0.0000 x1  2 Be 2.50, 4 Si 2.65, 4 Zn 2.66
Zn 0.5000 0.0000 0.5000 x1  2 Zn 2.50, 4 Si 2.65, 4 Be 2.66
Si 0.0000 0.5000 0.5000 x1  6 Si 2.50-2.66, 4 Zn 2.65
Si 0.5000 0.5000 0.0000 x1  6 Si 2.50-2.66, 4 Be 2.65

---

--- B ---
BeZnSi2 | PBE-GGA | relaxed

Calculated values
Magnetization (μB per formula unit): 0.00
Volume (Å³ per cell): 53.4

Cell lengths 3.7632, 3.7632, 3.7734 Å; angles 90.00, 90.00, 90.00 degrees
Last column: nearest neighbours and their distance in Å.
Space group P4/mmm (No. 123)
One atom of each set of equivalent atoms:
Be 0.0000 0.0000 0.0000 x1  4 Zn 2.66, 8 Si 2.66
Zn 0.5000 0.5000 0.0000 x1  4 Be 2.66, 8 Si 2.66
Si 0.0000 0.5000 0.5000 x2  4 Si 2.66, 4 Be 2.66, 4 Zn 2.66

---

Which structure loses on stability? A does.

---

--- A ---
BeZn2Si2 | PBE-GGA | relaxed

Calculated values
Magnetization (μB per formula unit): 0.00
Volume (Å³ per cell): 161.8

Cell lengths 3.9202, 3.9202, 10.5270 Å; angles 90.00, 90.00, 90.00 degrees
Last column: nearest neighbours and their distance in Å.
Space group I4/mmm (No. 139)
One atom of each set of equivalent atoms:
Be 0.0000 0.0000 0.0000 x2  8 Si 2.99, 8 Zn 3.28
Zn 0.0000 0.5000 0.2500 x4  4 Si 2.48, 4 Zn 2.77
Si 0.0000 0.0000 0.3936 x4  1 Si 2.24, 4 Zn 2.48

---

--- B ---
BeZn2Si2 | PBE-GGA | relaxed

Calculated values
Magnetization (μB per formula unit): 0.00
Volume (Å³ per cell): 151.3

Cell lengths 5.9602, 5.9602, 4.2579 Å; angles 90.00, 90.00, 90.00 degrees
Last column: nearest neighbours and their distance in Å.
Space group P4/mbm (No. 127)
One atom of each set of equivalent atoms:
Be 0.0000 0.0000 0.0000 x2  4 Si 2.30
Zn 0.1868 0.3132 0.5000 x4  2 Si 2.57
Si 0.1417 0.6417 0.0000 x4  2 Be 2.30, 1 Si 2.39

---

Which structure loses on stability? A does.

---

--- A ---
Be2Zn2Si | PBE-GGA | relaxed

Calculated values
Magnetization (μB per formula unit): 0.00
Volume (Å³ per cell): 127.4

Cell lengths 7.2613, 7.2613, 2.4171 Å; angles 90.00, 90.00, 90.00 degrees
Last column: nearest neighbours and their distance in Å.
Space group P4/mbm (No. 127)
One atom of each set of equivalent atoms:
Be 0.1134 0.3866 0.0000 x4  3 Be 2.33-2.42, 6 Zn 2.42-2.52
Zn 0.1824 0.6824 0.5000 x4  2 Zn 2.42, 6 Be 2.42-2.52
Si 0.0000 0.0000 0.0000 x2  2 Si 2.42

---

--- B ---
Be2Zn2Si | PBE-GGA | relaxed

Calculated values
Magnetization (μB per formula unit): 0.00
Volume (Å³ per cell): 127.6

Cell lengths 7.2257, 7.2257, 2.4440 Å; angles 90.00, 90.00, 90.00 degrees
Last column: nearest neighbours and their distance in Å.
Space group P4/mbm (No. 127)
One atom of each set of equivalent atoms:
Be 0.1635 0.3365 0.0000 x4  6 Zn 2.39-2.49, 2 Be 2.44
Zn 0.1352 0.6352 0.5000 x4  6 Be 2.39-2.49, 2 Zn 2.44
Si 0.0000 0.0000 0.5000 x2  2 Si 2.44

---

Which structure loses on stability? B does.

---

--- A ---
Zr4BeSi | PBE-GGA | relaxed

Calculated values
Magnetization (μB per formula unit): 0.00
Volume (Å³ per cell): 227.9

Cell lengths 6.5889, 6.5889, 5.2494 Å; angles 90.00, 90.00, 90.00 degrees
Last column: nearest neighbours and their distance in Å.
Space group I422 (No. 97)
One atom of each set of equivalent atoms:
Zr 0.1572 0.3428 0.2500 x8  2 Be 2.81, 2 Si 2.81, 3 Zr 2.93-3.14
Be 0.0000 0.0000 0.5000 x2  2 Si 2.62, 8 Zr 2.81
Si 0.0000 0.0000 0.0000 x2  2 Be 2.62, 8 Zr 2.81

---

--- B ---
Zr4BeSi | PBE-GGA | relaxed

Calculated values
Magnetization (μB per formula unit): 0.00
Volume (Å³ per cell): 502.4

Cell lengths 7.9496, 7.9496, 7.9496 Å; angles 90.00, 90.00, 90.00 degrees
Last column: nearest neighbours and their distance in Å.
Space group F-43m (No. 216)
One atom of each set of equivalent atoms:
Zr 0.1248 0.1248 0.1248 x16  6 Zr 2.81-2.82
Be 0.2500 0.2500 0.7500 x4  12 Zr 3.30, 4 Si 3.44
Si 0.0000 0.0000 0.5000 x4  12 Zr 3.30, 4 Be 3.44

---

Which structure loses on stability? B does.

---

--- A ---
TbSm2Be | PBE-GGA | relaxed

Calculated values
Magnetization (μB per formula unit): 0.00
Volume (Å³ per cell): 361.9

Cell lengths 3.4684, 3.4684, 34.7378 Å; angles 90.00, 90.00, 120.00 degrees
Last column: nearest neighbours and their distance in Å.
Space group R-3m (No. 166, hexagonal axes)
One atom of each set of equivalent atoms:
Tb 0.0000 0.0000 0.0000 x3  6 Tb 3.47, 6 Sm 3.49
Sm 0.0000 0.0000 0.4158 x6  1 Be 2.93
Be 0.0000 0.0000 0.5000 x3  2 Sm 2.93

---

--- B ---
TbSm2Be | PBE-GGA | relaxed

Calculated values
Magnetization (μB per formula unit): 0.00
Volume (Å³ per cell): 108.0

Cell lengths 3.5436, 3.5436, 8.6034 Å; angles 90.00, 90.00, 90.00 degrees
Last column: nearest neighbours and their distance in Å.
Space group P4/mmm (No. 123)
One atom of each set of equivalent atoms:
Tb 0.0000 0.0000 0.0000 x1  4 Tb 3.54, 8 Sm 3.62
Sm 0.5000 0.5000 0.3042 x2  4 Be 3.02, 1 Sm 3.37
Be 0.0000 0.0000 0.5000 x1  8 Sm 3.02

---

Which structure loses on stability? A does.